ZrBeCr | GGA-PBEsol | optimized geometry

Cell: 4.128 4.128 4.128 Å, 60.00 60.00 60.00°
Element x y z (fractional)
Zr: 0.000 0.000 0.000
Be: 0.500 0.500 0.500
Cr: 0.750 0.750 0.750

- total magnetic moment (μB/f.u.) = 2.48
- energy of formation from the pure elements (meV/atom) = 944
- symmetry = F-43m (216)